Here is an optimized crystal structure of KRbSb2Pb4 from Alexandria. Energies are from PBE-GGA.

Calculated values
For the density of states at the Fermi level, the calculation gives 3.3 states/eV per cell. The volume is 324.4 Å³/cell. The value obtained for the uncorrected formation energy is -0.118 eV per atom.

The structure in POSCAR format:
```
KRbSb2Pb4
1.0
4.792 0.000 0.000
0.000 4.792 0.000
0.000 0.000 14.129
K Rb Sb Pb
1 1 2 4
direct
0.000 0.000 0.000
0.000 0.000 0.500
0.500 0.500 0.132
0.500 0.500 0.868
0.000 0.500 0.275
0.000 0.500 0.725
0.500 0.000 0.275
0.500 0.000 0.725
```